A geometry-optimized HfW2O2 structure, computed with GGA+U.

Computed properties:
Energy above the lowest structure with this stoichiometry: 0 meV per atom
Energy: -77.7 eV per cell

CIF file:
```
data_HfW2O2
_space_group_name_H-M_alt 'P 1'
_space_group_IT_number 1
_space_group_name_Hall 'P 1'
_cell_length_a 5.7866
_cell_length_b 5.7866
_cell_length_c 4.1904
_cell_angle_alpha 90.00
_cell_angle_beta 90.00
_cell_angle_gamma 90.00
loop_
_atom_site_label
_atom_site_type_symbol
_atom_site_fract_x
_atom_site_fract_y
_atom_site_fract_z
O1 O 0.3245 0.1755 0.0000
Hf1 Hf 0.0000 0.0000 0.0000
W1 W 0.3262 0.1738 0.5000
O2 O 0.8245 0.3245 0.0000
W2 W 0.6738 0.8262 0.5000
W3 W 0.8262 0.3262 0.5000
Hf2 Hf 0.5000 0.5000 0.0000
O3 O 0.1755 0.6755 0.0000
W4 W 0.1738 0.6738 0.5000
O4 O 0.6755 0.8245 0.0000
```